The following is a DFT calculation (PBE) of a relaxed structure of LuAlAgPd.

Output
formation enthalpy at 0 K: -594.6 meV per atom

a b c (Å): 4.699 4.699 4.699
angles (deg): 60.00 60.00 60.00
Fractional coordinates of all 4 atoms:
Al (0.500, 0.500, 0.500)
Lu (0.000, 0.000, 0.000)
Pd (0.750, 0.750, 0.750)
Ag (0.250, 0.250, 0.250)

The following is a DFT calculation (PBE) of a relaxed structure of PrLuAlAg.

Output
formation enthalpy at 0 K: -298.6 meV per atom

a b c (Å): 5.213 5.213 5.213
angles (deg): 60.00 60.00 60.00
Fractional coordinates of all 4 atoms:
Ag (0.250, 0.250, 0.250)
Lu (0.000, 0.000, 0.000)
Al (0.750, 0.750, 0.750)
Pr (0.500, 0.500, 0.500)

The following is a DFT calculation (PBE) of a relaxed structure of LuAlAgPt.

Output
formation enthalpy at 0 K: -730.0 meV per atom

a b c (Å): 4.690 4.690 4.690
angles (deg): 60.00 60.00 60.00
Fractional coordinates of all 4 atoms:
Pt (0.750, 0.750, 0.750)
Al (0.000, 0.000, 0.000)
Ag (0.250, 0.250, 0.250)
Lu (0.500, 0.500, 0.500)

The following is a DFT calculation (PBE) of a relaxed structure of LuPuAlAg.

Output
formation enthalpy at 0 K: -126.9 meV per atom

a b c (Å): 5.108 5.108 5.108
angles (deg): 60.00 60.00 60.00
Each line ends with the local moment (μB).
Fractional coordinates of all 4 atoms:
Ag (0.250, 0.250, 0.250)  -0.04
Lu (0.500, 0.500, 0.500)  -0.08
Al (0.750, 0.750, 0.750)  0.02
Pu (0.000, 0.000, 0.000)  -5.31

The following is a DFT calculation (PBE) of a relaxed structure of LuAlAgRh.

Output
formation enthalpy at 0 K: -575.9 meV per atom

a b c (Å): 4.644 4.644 4.644
angles (deg): 60.00 60.00 60.00
Fractional coordinates of all 4 atoms:
Al (0.500, 0.500, 0.500)
Lu (0.000, 0.000, 0.000)
Ag (0.250, 0.250, 0.250)
Rh (0.750, 0.750, 0.750)

The following is a DFT calculation (PBE) of a relaxed structure of SmLuAlAg.

Output
formation enthalpy at 0 K: -324.4 meV per atom

a b c (Å): 5.157 5.157 5.157
angles (deg): 60.00 60.00 60.00
Fractional coordinates of all 4 atoms:
Sm (0.000, 0.000, 0.000)
Ag (0.750, 0.750, 0.750)
Al (0.250, 0.250, 0.250)
Lu (0.500, 0.500, 0.500)

The following is a DFT calculation (PBE) of a relaxed structure of TbLuAlAg.

Output
formation enthalpy at 0 K: -158.9 meV per atom

a b c (Å): 5.111 5.111 5.111
angles (deg): 60.00 60.00 60.00
Each line ends with the local moment (μB).
Fractional coordinates of all 4 atoms:
Al (0.750, 0.750, 0.750)  0.01
Tb (0.000, 0.000, 0.000)  0.08
Ag (0.250, 0.250, 0.250)  0.02
Lu (0.500, 0.500, 0.500)  0.10

The following is a DFT calculation (PBE) of a relaxed structure of LuThAlAg.

Output
formation enthalpy at 0 K: -205.2 meV per atom

a b c (Å): 5.190 5.190 5.190
angles (deg): 60.00 60.00 60.00
Fractional coordinates of all 4 atoms:
Al (0.750, 0.750, 0.750)
Lu (0.500, 0.500, 0.500)
Th (0.000, 0.000, 0.000)
Ag (0.250, 0.250, 0.250)